Record 1
This record from Alexandria describes a relaxed structure of K2YTc. The functional is GGA-PBE.

Properties
As for the calculated density: 3.6 g/cm³. The calculation puts the formation energy at 1226 meV per atom. The volume comes out at 30.7 Å³ per atom. The total magnetization comes out at 2.29 μB per formula unit. The energy relative to the lowest polymorph listed for this composition comes out at 622.2 meV per atom. As for the total energy: -0.2595 Ry per atom.

a b c (Å): 13.1706 13.1706 13.1706
angles (deg): 14.39 14.39 14.39
Last column: nearest neighbours and their distance in Å.
Fractional coordinates of all 4 atoms:
1 Y 0.7500 0.7500 0.7500  6 Y 3.30
2 Tc 0.2500 0.2500 0.2500  6 Tc 3.30, 6 K 3.42
3 K 0.5105 0.5105 0.5105  6 K 3.30, 3 Tc 3.42
4 K 0.9895 0.9895 0.9895  6 K 3.30, 3 Tc 3.42

=====

Record 2
This record from Alexandria describes a relaxed structure of HoAl2Os. The functional is GGA-PBE.

Properties
As for the calculated density: 9.1 g/cm³. The calculation puts the formation energy at 1 meV per atom. The volume comes out at 18.7 Å³ per atom. The total magnetization comes out at 0.00 μB per formula unit. As for the total energy: -0.4280 Ry per atom.

a b c (Å): 3.0816 3.0816 9.2475
angles (deg): 80.41 80.41 60.00
Last column: nearest neighbours and their distance in Å.
Fractional coordinates of all 4 atoms:
1 Os 0.0000 0.0000 0.0000  6 Al 2.58
2 Al 0.2648 0.2648 0.2056  3 Os 2.58
3 Al 0.7352 0.7352 0.7944  3 Os 2.58
4 Ho 0.5000 0.5000 0.5000  6 Ho 3.08, 6 Al 3.21

=====

Record 3
This record from Alexandria describes a relaxed structure of BeSi2. The functional is GGA-PBE.

Properties
The formation energy without anion corrections is 0.4386 eV/atom. As for the calculated density: 2.9 g/cm³. The volume comes out at 12.5 Å³ per atom. The total magnetization comes out at 0.00 μB per formula unit. The energy relative to the lowest polymorph listed for this composition comes out at 181.4 meV per atom. As for the total energy: -0.3248 Ry per atom.

a b c (Å): 4.2442 4.2442 4.2442
angles (deg): 135.01 135.01 65.51
Last column: nearest neighbours and their distance in Å.
Fractional coordinates of all 3 atoms:
1 Be 0.0000 0.0000 0.0000  10 Si 2.35-2.60
2 Si 0.3295 0.3295 0.0000  5 Be 2.35-2.60, 5 Si 2.43-2.56
3 Si 0.6705 0.6705 0.0000  5 Be 2.35-2.60, 5 Si 2.43-2.56

=====

Record 4
This record from Alexandria describes a relaxed structure of Ce7Pd3. The functional is GGA-PBE.

Properties
As for the calculated density: 8.3 g/cm³. The calculation puts the formation energy at -350 meV per atom. The volume comes out at 26.0 Å³ per atom. The total magnetization comes out at 3.77 μB per formula unit. As for the total energy: -0.4455 Ry per atom.

a b c (Å): 6.2098 9.8400 9.8400
angles (deg): 120.00 90.00 90.00
Last column: nearest neighbours and their distance in Å.
Fractional coordinates of all 20 atoms:
1 Ce 0.6582 0.9215 0.4608  2 Pd 2.92
2 Ce 0.1582 0.0785 0.5392  2 Pd 2.92
3 Ce 0.1582 0.4608 0.9215  2 Pd 2.92
4 Ce 0.4134 0.7380 0.8690  3 Pd 2.89-3.02
5 Ce 0.6582 0.5392 0.0785  2 Pd 2.92
6 Pd 0.3720 0.8094 0.6188  6 Ce 2.89-3.04
7 Ce 0.9134 0.2620 0.1310  3 Pd 2.89-3.02
8 Ce 0.9134 0.8690 0.1310  3 Pd 2.89-3.02
9 Ce 0.0774 0.6667 0.3333  3 Pd 3.04, 3 Ce 3.39
10 Ce 0.9134 0.8690 0.7380  3 Pd 2.89-3.02
11 Ce 0.6582 0.5392 0.4608  2 Pd 2.92
12 Pd 0.3720 0.3812 0.1906  6 Ce 2.89-3.04
13 Pd 0.3720 0.8094 0.1906  6 Ce 2.89-3.04
14 Ce 0.1582 0.4608 0.5392  2 Pd 2.92
15 Ce 0.4134 0.1310 0.2620  3 Pd 2.89-3.02
16 Pd 0.8720 0.1906 0.3812  6 Ce 2.89-3.04
17 Ce 0.5774 0.3333 0.6667  3 Pd 3.04, 3 Ce 3.39
18 Pd 0.8720 0.1906 0.8094  6 Ce 2.89-3.04
19 Pd 0.8720 0.6188 0.8094  6 Ce 2.89-3.04
20 Ce 0.4134 0.1310 0.8690  3 Pd 2.89-3.02

=====

Record 5
This record from Alexandria describes a relaxed structure of AlZn2Au2. The functional is GGA-PBE.

Properties
As for the calculated density: 10.5 g/cm³. The calculation puts the formation energy at -161 meV per atom. The volume comes out at 17.4 Å³ per atom. The total magnetization comes out at 0.00 μB per formula unit. The energy relative to the lowest polymorph listed for this composition comes out at 89.3 meV per atom. As for the total energy: -0.2006 Ry per atom.

a b c (Å): 7.0454 7.0454 3.5065
angles (deg): 90.00 90.00 90.00
Last column: nearest neighbours and their distance in Å.
Fractional coordinates of all 10 atoms:
1 Au 0.1576 0.3424 0.0000  6 Zn 2.64-2.75, 2 Al 2.66
2 Zn 0.1436 0.6436 0.5000  6 Au 2.64-2.75, 1 Zn 2.86
3 Zn 0.6436 0.8564 0.5000  6 Au 2.64-2.75, 1 Zn 2.86
4 Zn 0.8564 0.3564 0.5000  6 Au 2.64-2.75, 1 Zn 2.86
5 Al 0.0000 0.0000 0.0000  4 Au 2.66
6 Zn 0.3564 0.1436 0.5000  6 Au 2.64-2.75, 1 Zn 2.86
7 Au 0.6576 0.1576 0.0000  6 Zn 2.64-2.75, 2 Al 2.66
8 Au 0.8424 0.6576 0.0000  6 Zn 2.64-2.75, 2 Al 2.66
9 Au 0.3424 0.8424 0.0000  6 Zn 2.64-2.75, 2 Al 2.66
10 Al 0.5000 0.5000 0.0000  4 Au 2.66

=====

Record 6
This record from Alexandria describes a relaxed structure of LaTa2Tl. The functional is GGA-PBE.

Properties
As for the calculated density: 12.8 g/cm³. The calculation puts the formation energy at 572 meV per atom. The volume comes out at 22.9 Å³ per atom. The total magnetization comes out at 0.00 μB per formula unit. As for the total energy: -0.5276 Ry per atom.

a b c (Å): 3.1493 5.5329 5.2580
angles (deg): 90.00 90.00 90.00
Last column: nearest neighbours and their distance in Å.
Fractional coordinates of all 4 atoms:
1 Ta 0.0000 0.0000 0.0000  4 Tl 3.06, 6 Ta 3.15-3.18
2 Tl 0.5000 0.0000 0.5000  4 Ta 3.06, 2 Tl 3.15, 4 La 3.18
3 Ta 0.5000 0.5000 0.0000  4 La 3.06, 6 Ta 3.15-3.18
4 La 0.0000 0.5000 0.5000  4 Ta 3.06, 2 La 3.15, 4 Tl 3.18

=====

Record 7
This record from Alexandria describes a relaxed structure of CdSb4W. The functional is GGA-PBE.

Properties
The formation energy without anion corrections is 1.1134 eV/atom. As for the calculated density: 7.9 g/cm³. The volume comes out at 27.4 Å³ per atom. The total magnetization comes out at 3.79 μB per formula unit. As for the total energy: -0.2900 Ry per atom.

a b c (Å): 6.1455 6.1455 6.1455
angles (deg): 60.00 60.00 60.00
Last column: nearest neighbours and their distance in Å.
Fractional coordinates of all 6 atoms:
1 Sb 0.3745 0.3745 0.3745  6 Sb 3.06-3.08
2 Sb 0.3745 0.3745 0.8765  6 Sb 3.06-3.08
3 Cd 0.0000 0.0000 0.0000  12 Sb 3.60, 4 W 3.76
4 Sb 0.3745 0.8765 0.3745  6 Sb 3.06-3.08
5 W 0.7500 0.7500 0.7500  12 Sb 3.60, 4 Cd 3.76
6 Sb 0.8765 0.3745 0.3745  6 Sb 3.06-3.08

=====

Record 8
This record from Alexandria describes a relaxed structure of Zr2MoAs. The functional is GGA-PBE.

Properties
As for the calculated density: 7.3 g/cm³. The calculation puts the formation energy at -100 meV per atom. The volume comes out at 20.0 Å³ per atom. The total magnetization comes out at 0.00 μB per formula unit. As for the total energy: -0.6059 Ry per atom.

a b c (Å): 8.6805 8.6805 8.6805
angles (deg): 21.96 21.96 21.96
Last column: nearest neighbours and their distance in Å.
Fractional coordinates of all 4 atoms:
1 Zr 0.2411 0.2411 0.2411  3 As 2.82, 3 Zr 3.14
2 Zr 0.0058 0.0058 0.0058  3 Mo 2.94, 3 Zr 3.14
3 Mo 0.7605 0.7605 0.7605  3 As 2.53
4 As 0.4926 0.4926 0.4926  3 Mo 2.53, 3 Zr 2.82

=====

Record 9
This record from Alexandria describes a relaxed structure of Ac2ZnCu2. The functional is GGA-PBE.

Properties
As for the calculated density: 8.7 g/cm³. The calculation puts the formation energy at -157 meV per atom. The volume comes out at 24.7 Å³ per atom. The total magnetization comes out at 0.00 μB per formula unit. The energy relative to the lowest polymorph listed for this composition comes out at 6.7 meV per atom. As for the total energy: -0.2715 Ry per atom.

a b c (Å): 5.9483 6.0032 8.1837
angles (deg): 101.61 90.00 119.70
Last column: nearest neighbours and their distance in Å.
Fractional coordinates of all 10 atoms:
1 Cu 0.0038 0.7304 0.9984  2 Zn 2.73-2.74, 1 Cu 2.75
2 Ac 0.4914 0.7026 0.8524  6 Cu 3.19-3.26, 3 Zn 3.51-3.56
3 Zn 0.8662 0.0000 0.2500  4 Cu 2.73-2.74
4 Cu 0.7266 0.7304 0.4984  2 Zn 2.73-2.74, 1 Cu 2.75
5 Ac 0.5086 0.2974 0.1476  6 Cu 3.19-3.26, 3 Zn 3.51-3.56
6 Zn 0.1338 0.0000 0.7500  4 Cu 2.73-2.74
7 Cu 0.9962 0.2696 0.0016  2 Zn 2.73-2.74, 1 Cu 2.75
8 Cu 0.2734 0.2696 0.5016  2 Zn 2.73-2.74, 1 Cu 2.75
9 Ac 0.2113 0.7026 0.3524  6 Cu 3.19-3.26, 3 Zn 3.51-3.56
10 Ac 0.7887 0.2974 0.6476  6 Cu 3.19-3.26, 3 Zn 3.51-3.56

=====

Record 10
This record from Alexandria describes a relaxed structure of SrMo2Os. The functional is GGA-PBE.

Properties
As for the calculated density: 10.7 g/cm³. The calculation puts the formation energy at 1070 meV per atom. The volume comes out at 18.2 Å³ per atom. The total magnetization comes out at 0.02 μB per formula unit. The energy relative to the lowest polymorph listed for this composition comes out at 446.5 meV per atom. As for the total energy: -0.5566 Ry per atom.

a b c (Å): 3.1987 4.7449 4.7875
angles (deg): 90.00 90.00 90.00
Last column: nearest neighbours and their distance in Å.
Fractional coordinates of all 4 atoms:
1 Sr 0.0000 0.5000 0.5000  4 Os 2.86, 4 Mo 2.88, 2 Sr 3.20
2 Os 0.5000 0.0000 0.5000  4 Sr 2.86, 4 Mo 2.88, 2 Os 3.20
3 Mo 0.5000 0.5000 0.0000  6 Mo 2.86-3.20, 4 Sr 2.88
4 Mo 0.0000 0.0000 0.0000  6 Mo 2.86-3.20, 4 Os 2.88